A PBEsol-optimized structure of Tl3Cr, computed with meta-GGA SCAN.

For the formation energy, the calculation gives 1.215 eV per formula unit. As for the calculated density: 11.23 Mg/m³. As for the crystal system: trigonal.

The structure belongs to space group R-3m (No. 166, hexagonal axes); the cell edges are 10.0980, 10.0980 and 3.3418 Å and the angles 90.00°, 90.00° and 120.00°. The inequivalent atoms are Tl at (0.0000, 0.5000, 0.0000) and Cr at (0.0000, 0.0000, 0.0000).